(1)
Below is a relaxed structure of Li4Ca3Sn4, with properties calculated at the GGA-PBE level.

## Properties
Total DFT energy (no corrections), eV per atom: -3.20
Mass density, g/cm³: 3.83
E above lowest polymorph, kJ/mol of atoms: 0.00

abc: 30.620 4.891 3.631
angles: 90.00 96.73 90.00
Space group C2/m (No. 12)
Asymmetric unit:
Li (0.094, 0.000, 0.094) (multiplicity 4)
Li (0.241, 0.500, 0.242) (multiplicity 4)
Ca (0.000, 0.000, 0.500) (multiplicity 2)
Ca (0.146, 0.500, 0.645) (multiplicity 4)
Sn (0.049, 0.500, 0.049) (multiplicity 4)
Sn (0.185, 0.000, 0.184) (multiplicity 4)

***

(2)
Below is a relaxed structure of Li4CaSn4, with properties calculated at the GGA-PBE level.

## Properties
Total DFT energy (no corrections), eV per atom: -3.20
Mass density, g/cm³: 4.34

abc: 6.557 6.557 9.662
angles: 90.00 90.00 90.00
Space group P4_2/nmc (No. 137, origin choice 2)
Asymmetric unit:
Li (0.023, 0.250, 0.172) (multiplicity 8)
Ca (0.250, 0.750, 0.250) (multiplicity 2)
Sn (0.026, 0.250, 0.464) (multiplicity 8)

***

(3)
Below is a relaxed structure of LiCa4Sn12, with properties calculated at the GGA-PBE level.

## Properties
Total DFT energy (no corrections), eV per atom: -3.76
Mass density, g/cm³: 5.79

abc: 9.699 9.699 9.699
angles: 90.00 90.00 90.00
Space group Im-3m (No. 229)
Asymmetric unit:
Li (0.000, 0.000, 0.000) (multiplicity 2)
Ca (0.250, 0.250, 0.250) (multiplicity 8)
Sn (0.000, 0.000, 0.281) (multiplicity 12)
Sn (0.000, 0.250, 0.500) (multiplicity 12)

***

(4)
Below is a relaxed structure of LiCa2Sn, with properties calculated at the GGA-PBE level.

## Properties
Total DFT energy (no corrections), eV per atom: -2.73
Mass density, g/cm³: 2.58

abc: 11.123 5.378 9.899
angles: 90.00 116.49 90.00
Space group C2/c (No. 15)
Asymmetric unit:
Li (0.000, 0.191, 0.250) (multiplicity 4)
Ca (0.187, 0.475, 0.095) (multiplicity 8)
Sn (0.000, 0.304, 0.750) (multiplicity 4)

***

(5)
Below is a relaxed structure of Li12CaSn4, with properties calculated at the GGA-PBE level.

## Properties
Total DFT energy (no corrections), eV per atom: -2.42
Mass density, g/cm³: 2.24

abc: 9.614 9.614 9.614
angles: 90.00 90.00 90.00
Space group Im-3 (No. 204)
Asymmetric unit:
Li (0.000, 0.177, 0.345) (multiplicity 24)
Ca (0.000, 0.000, 0.000) (multiplicity 2)
Sn (0.250, 0.250, 0.250) (multiplicity 8)

***

(6)
Below is a relaxed structure of Li2CaSn2, with properties calculated at the GGA-PBE level.

## Properties
Total DFT energy (no corrections), eV per atom: -3.14
Mass density, g/cm³: 3.79
E above lowest polymorph, kJ/mol of atoms: 7.16

abc: 4.750 7.620 7.053
angles: 90.00 90.00 90.00
Space group Cmmm (No. 65)
Asymmetric unit:
Li (0.000, 0.164, 0.000) (multiplicity 4)
Ca (0.000, 0.000, 0.500) (multiplicity 2)
Sn (0.000, 0.500, 0.200) (multiplicity 4)

***

(7)
Below is a relaxed structure of Li7CaSn4, with properties calculated at the GGA-PBE level.

## Properties
Total DFT energy (no corrections), eV per atom: -2.91
Mass density, g/cm³: 3.53

abc: 12.956 5.019 10.028
angles: 90.00 125.66 90.00
Space group C2/m (No. 12)
Asymmetric unit:
Li (0.000, 0.000, 0.000) (multiplicity 2)
Li (0.073, 0.500, 0.372) (multiplicity 4)
Li (0.159, 0.000, 0.591) (multiplicity 4)
Li (0.215, 0.500, 0.868) (multiplicity 4)
Ca (0.000, 0.500, 0.000) (multiplicity 2)
Sn (0.072, 0.000, 0.794) (multiplicity 4)
Sn (0.190, 0.000, 0.321) (multiplicity 4)

***

(8)
Below is a relaxed structure of Li5Ca2Sn4, with properties calculated at the GGA-PBE level.

## Properties
Total DFT energy (no corrections), eV per atom: -3.05
Mass density, g/cm³: 3.59

abc: 6.048 10.570 17.061
angles: 90.00 90.00 90.00
Space group Fmmm (No. 69)
Asymmetric unit:
Li (0.000, 0.000, 0.000) (multiplicity 4)
Li (0.250, 0.250, 0.000) (multiplicity 8)
Li (0.250, 0.250, 0.250) (multiplicity 8)
Ca (0.000, 0.000, 0.326) (multiplicity 8)
Sn (0.000, 0.143, 0.134) (multiplicity 16)

***

(9)
Below is a relaxed structure of Li8CaSn7, with properties calculated at the GGA-PBE level.

## Properties
Total DFT energy (no corrections), eV per atom: -3.18
Mass density, g/cm³: 4.34

abc: 4.654 26.212 11.611
angles: 90.00 90.00 90.00
Space group Cmcm (No. 63)
Asymmetric unit:
Li (0.000, 0.000, 0.000) (multiplicity 4)
Li (0.000, 0.024, 0.250) (multiplicity 4)
Li (0.000, 0.118, 0.523) (multiplicity 8)
Li (0.000, 0.241, 0.091) (multiplicity 8)
Li (0.000, 0.453, 0.121) (multiplicity 8)
Ca (0.000, 0.142, 0.250) (multiplicity 4)
Sn (0.000, 0.081, 0.750) (multiplicity 4)
Sn (0.000, 0.255, 0.750) (multiplicity 4)
Sn (0.000, 0.326, 0.551) (multiplicity 8)
Sn (0.000, 0.342, 0.250) (multiplicity 4)
Sn (0.000, 0.434, 0.622) (multiplicity 8)

***

(10)
Below is a relaxed structure of LiCaSn3, with properties calculated at the GGA-PBE level.

## Properties
Total DFT energy (no corrections), eV per atom: -3.51
Mass density, g/cm³: 5.02
E above lowest polymorph, kJ/mol of atoms: 2.55

abc: 6.514 5.871 6.975
angles: 90.00 90.00 90.00
Space group Pmn2_1 (No. 31)
Asymmetric unit:
Li (0.000, 0.155, 0.000) (multiplicity 2)
Ca (0.000, 0.699, 0.264) (multiplicity 2)
Sn (0.000, 0.389, 0.666) (multiplicity 2)
Sn (0.241, 0.805, 0.824) (multiplicity 4)